No. 1
8
Lattice="3.894 -3.894 0.000 3.894 3.894 0.000 0.000 0.000 4.754" Properties=species:S:1:pos:R:3 comment="AcHgNO, relaxed, DFT PBE" total_magnetization_mub_per_atom=0.000 density_g_cm3=10.5 spacegroup="P4/nmm (129)" final_energy_ev_per_cell=-42.81 de_polymorph_ev_per_fu=1.01 pbc="T T T"
Hg 5.841 0.000 0.009
Hg 1.947 0.000 4.744
N 1.947 0.000 2.367
N 5.841 0.000 2.387
O 3.894 -1.947 0.000
O 3.894 1.947 0.000
Ac 3.894 1.947 2.377
Ac 3.894 -1.947 2.377


No. 2
4
Lattice="1.171 -2.539 -2.829 0.656 -3.818 0.902 -2.494 -2.809 -1.307" Properties=species:S:1:pos:R:3 comment="LiFeNiGe, relaxed, DFT PBE" total_magnetization_mub_per_atom=0.070 density_g_cm3=7.2 spacegroup="F-43m (216)" final_energy_ev_per_cell=-21.09 de_polymorph_ev_per_fu=0.00 pbc="T T T"
Li -0.501 -6.875 -2.426
Fe 0.000 0.000 0.000
Ni -0.334 -4.583 -1.617
Ge -0.167 -2.292 -0.809